Record 1
Entry from Alexandria via LeMat-Bulk: a geometry-optimized K2LiSn3Au4 structure (PBE-GGA).

POSCAR file:
```
K2LiSn3Au4
1.0
4.919 0.000 0.000
0.000 4.919 0.000
0.000 0.000 10.770
K Li Sn Au
2 1 3 4
Direct
0.000 0.500 0.247
0.500 0.000 0.753
0.000 0.000 0.500
0.000 0.500 0.875
0.500 0.000 0.125
0.500 0.500 0.500
0.000 0.000 0.000
0.000 0.500 0.618
0.500 0.000 0.382
0.500 0.500 0.000
```

Summary:
calculated total energy: -3.278 eV/atom
ΔH_f (0 K): -0.36 eV/atom

Record 2
Entry from Alexandria via LeMat-Bulk: a geometry-optimized Cs2CaTiOs structure (PBE-GGA).

POSCAR file:
```
Cs2CaTiOs
1.0
7.172 0.000 0.000
0.000 7.172 0.000
0.000 0.000 4.512
Cs Ca Ti Os
2 1 1 1
Direct
0.000 0.500 0.000
0.500 0.000 0.000
0.000 0.000 0.500
0.500 0.500 0.000
0.500 0.500 0.500
```

Summary:
calculated total energy: -3.433 eV/atom
ΔH_f (0 K): 1.13 eV/atom

Record 3
Entry from Alexandria via LeMat-Bulk: a geometry-optimized GdTmTlSn structure (PBE-GGA).

POSCAR file:
```
GdTmTlSn
1.0
0.000 3.784 3.784
3.784 0.000 3.784
3.784 3.784 0.000
Gd Tm Tl Sn
1 1 1 1
Direct
0.000 0.000 0.000
0.500 0.500 0.500
0.750 0.750 0.750
0.250 0.250 0.250
```

Summary:
calculated total energy: -6.682 eV/atom
ΔH_f (0 K): -0.45 eV/atom

Question: Number 1 is which compound?
Answer: K2LiSn3Au4

Question: Which formula does entry 1 have?
Answer: K2LiSn3Au4